Li2TaPd9 | PBE | optimized geometry

It has space group P4/mmm (No. 123), with a = 3.950 Å, b = 3.950 Å, c = 11.637 Å, α = 90.00°, β = 90.00° and γ = 90.00°. Symmetry generates all atoms from Li at (0.000, 0.000, 0.162), Ta at (0.000, 0.000, 0.500), Pd at (0.000, 0.500, 0.000), Pd at (0.000, 0.500, 0.335), Pd at (0.500, 0.500, 0.167) and Pd at (0.500, 0.500, 0.500).

Its formation energy is -0.3571 eV per atom.

Tl2PbCl | PBE | optimized geometry

It has space group R-3m (No. 166, hexagonal axes), with a = 3.6860 Å, b = 3.6860 Å, c = 31.3926 Å, α = 90.00°, β = 90.00° and γ = 120.00°. Symmetry generates all atoms from Tl at (0.0000, 0.0000, 0.2390), Pb at (0.0000, 0.0000, 0.0000) and Cl at (0.0000, 0.0000, 0.5000).

As for the polymorph energy (0 for the lowest one): 66 meV/atom.

Pu3TaNb2N6 | PBE | optimized geometry

It has space group C2/m (No. 12), with a = 5.664 Å, b = 9.807 Å, c = 5.735 Å, α = 90.00°, β = 109.19° and γ = 90.00°. Symmetry generates all atoms from Pu at (0.000, 0.000, 0.000), Pu at (0.000, 0.331, 0.000), Ta at (0.000, 0.500, 0.500), Nb at (0.000, 0.166, 0.500), N at (0.237, 0.337, 0.722) and N at (0.249, 0.000, 0.725).

Its electronic total energy is -11.64 eV per atom.

NaOsSe2 | PBE | optimized geometry

It has space group Fm-3m (No. 225), with a = 6.470 Å, b = 6.470 Å, c = 6.470 Å, α = 90.00°, β = 90.00° and γ = 90.00°. Symmetry generates all atoms from Na at (0.000, 0.000, 0.000), Os at (0.000, 0.000, 0.500) and Se at (0.250, 0.250, 0.250).

Its electronic total energy is -4.74 eV per atom.

YNiW | PBE | optimized geometry

It has space group F-43m (No. 216), with a = 6.443 Å, b = 6.443 Å, c = 6.443 Å, α = 90.00°, β = 90.00° and γ = 90.00°. Symmetry generates all atoms from Y at (0.000, 0.000, 0.000), Ni at (0.250, 0.250, 0.750) and W at (0.250, 0.250, 0.250).

As for the polymorph energy (0 for the lowest one): 1439 meV/atom. Its formation energy is 1.6293 eV per atom.

Tb4CeDyEr2 | PBE | optimized geometry

It has space group P2/m (No. 10), with a = 6.124 Å, b = 3.535 Å, c = 11.746 Å, α = 90.00°, β = 99.95° and γ = 90.00°. Symmetry generates all atoms from Tb at (0.247, 0.000, 0.249), Tb at (0.248, 0.500, 0.751), Ce at (0.000, 0.500, 0.000), Dy at (0.000, 0.000, 0.500), Er at (0.500, 0.000, 0.000) and Er at (0.500, 0.500, 0.500).

Its formation energy is 0.0407 eV per atom.

ReB2HBr | PBE | optimized geometry

It has space group P4/mmm (No. 123), with a = 4.307 Å, b = 4.307 Å, c = 3.692 Å, α = 90.00°, β = 90.00° and γ = 90.00°. Symmetry generates all atoms from Re at (0.000, 0.000, 0.000), B at (0.000, 0.500, 0.000), H at (0.000, 0.000, 0.500) and Br at (0.500, 0.500, 0.500).

Its electronic total energy is -4.85 eV per atom.

LiZnRh2 | PBE | optimized geometry

It has space group Cmmm (No. 65), with a = 2.871 Å, b = 4.563 Å, c = 8.515 Å, α = 90.00°, β = 90.00° and γ = 90.00°. Symmetry generates all atoms from Li at (0.000, 0.000, 0.000), Zn at (0.000, 0.000, 0.500) and Rh at (0.000, 0.500, 0.253).

Its formation energy is -0.1663 eV per atom.